8
Lattice="-2.441 2.441 8.436 2.441 -2.441 8.436 2.441 2.441 -8.436" Properties=species:S:1:pos:R:3 comment="LaMgPd2, optimized geometry, DFT PBE-GGA" ef_ev_per_atom=-0.31 pbc="T T T"
La 0.000 0.000 0.000
La 0.000 2.441 4.218
Mg 2.441 0.000 4.218
Mg 0.000 0.000 8.436
Pd 1.220 -0.651 6.327
Pd 1.789 1.220 2.109
Pd 1.220 3.092 -2.109
Pd 0.651 1.220 10.545


16
Lattice="4.197 0.000 0.000 0.000 4.197 0.000 0.000 0.000 16.452" Properties=species:S:1:pos:R:3 comment="La3MgPd12, optimized geometry, DFT PBE-GGA" ef_ev_per_atom=-0.71 pbc="T T T"
La 0.000 0.000 0.000
La 0.000 0.000 4.291
La 0.000 0.000 12.161
Mg 0.000 0.000 8.226
Pd 0.000 2.099 2.122
Pd 0.000 2.099 6.385
Pd 0.000 2.099 10.067
Pd 0.000 2.099 14.330
Pd 2.099 0.000 2.122
Pd 2.099 0.000 6.385
Pd 2.099 0.000 10.067
Pd 2.099 0.000 14.330
Pd 2.099 2.099 0.000
Pd 2.099 2.099 4.236
Pd 2.099 2.099 8.226
Pd 2.099 2.099 12.215